The following is a GGA-PBE calculation of a relaxed structure of LaSc3Zn, from Alexandria.

a = 5.174 Å, b = 5.174 Å, c = 5.174 Å
α = 90.00°, β = 90.00°, γ = 90.00°
Space group Pm-3m (No. 221)
Unique sites:
La: 0.000 0.000 0.000
Sc: 0.000 0.500 0.500
Zn: 0.500 0.500 0.500

Computed properties:
M_tot: 0.0 μB/cell
total DFT energy (no corrections): -0.3602 Ry/atom
energy relative to the elements: 138.7 meV/atom
energy relative to the lowest polymorph listed for this composition: 0.000 eV per atom

---

The following is a GGA-PBE calculation of a relaxed structure of La2ReSnN, from Alexandria.

a = 5.349 Å, b = 5.349 Å, c = 3.964 Å
α = 90.00°, β = 90.00°, γ = 90.00°
Space group P4/mmm (No. 123)
Unique sites:
La: 0.000 0.500 0.000
Re: 0.000 0.000 0.500
Sn: 0.500 0.500 0.500
N: 0.000 0.000 0.000

Computed properties:
M_tot: 0.0 μB/cell
total DFT energy (no corrections): -0.5547 Ry/atom

---

The following is a GGA-PBE calculation of a relaxed structure of CdMo3Cl, from Alexandria.

a = 4.979 Å, b = 4.979 Å, c = 4.979 Å
α = 90.00°, β = 90.00°, γ = 90.00°
Space group Pm-3m (No. 221)
Unique sites:
Cd: 0.000 0.000 0.000
Mo: 0.000 0.000 0.500
Cl: 0.500 0.500 0.500

Computed properties:
M_tot: 0.0 μB/cell
total DFT energy (no corrections): -0.3123 Ry/atom
energy relative to the lowest polymorph listed for this composition: 1.856 eV per atom

---

The following is a GGA-PBE calculation of a relaxed structure of CsCoAs, from Alexandria.

a = 3.951 Å, b = 3.951 Å, c = 13.098 Å
α = 84.70°, β = 88.51°, γ = 60.03°
Space group P1 (No. 1)
Unique sites:
Cs: 0.000 0.000 0.000
Cs: 0.387 0.123 0.600
Co: 0.356 0.242 0.260
Co: 0.699 0.538 0.369
As: 0.035 0.862 0.394
As: 0.684 0.598 0.196

Computed properties:
M_tot: 0.9 μB/cell
total DFT energy (no corrections): -0.3156 Ry/atom
energy relative to the elements: -90.9 meV/atom

---

total DFT energy (no corrections) of number 2 (La2ReSnN)? -0.5547 Ry/atom

---

total DFT energy (no corrections) of number 1 (LaSc3Zn)? -0.3602 Ry/atom

---

Look up the total DFT energy (no corrections) of the first one. -0.3602 Ry/atom

---

What is the total DFT energy (no corrections) in the second record? -0.5547 Ry/atom